Below is a relaxed structure of BC3, with properties calculated at the PBE level.

Values from the calculation:
- Offset from the most stable computed form: 77 meV/atom
- Space group: Cm, No. 8
- ρ: 3.15 g/cm³

a b c (Å): 6.9249 6.8767 6.8767
angles (deg): 158.71 141.38 44.48
Last column: nearest neighbours and their distance in Å.
Fractional coordinates of all 12 atoms:
B: 0.9836 0.3404 0.6432  2 C 1.59-1.61, 2 B 1.76
B: 0.1361 0.1283 0.0078  4 C 1.59-1.70
B: 0.1417 0.7826 0.3591  2 C 1.56-1.60
C: 0.6161 0.2904 0.3257  3 C 1.54-1.57, 1 B 1.59
C: 0.5083 0.1679 0.3404  3 C 1.57, 1 B 1.61
C: 0.9913 0.9952 0.9961  3 C 1.53-1.59, 1 B 1.70
C: 0.6232 0.9580 0.6652  4 C 1.57-1.59
C: 0.5104 0.8339 0.6765  3 C 1.54-1.59, 1 B 1.60
C: 0.9801 0.6611 0.3190  1 C 1.51, 3 B 1.56-1.59
C: 0.6295 0.6255 0.0040  4 C 1.51-1.59
C: 0.4997 0.5008 0.9989  4 C 1.57-1.60
C: 0.1299 0.4658 0.6642  3 C 1.53-1.60, 1 B 1.61